Compound: TbEr2Al
Source: the Alexandria database
Functional: PBE
Structure: optimized geometry

Unit cell a=3.552 b=3.552 c=10.564 alpha=80.32 beta=80.32 gamma=60.00
Atoms (fractional coordinates):
Er1 0.073 0.073 0.782
Al1 0.666 0.666 0.001
Tb1 0.500 0.500 0.499
Er2 0.261 0.261 0.218

ΔE_f in eV/atom: -0.0759
D(E_F) in states/eV/cell: 4.167
Space group: R3m (160)
Distance to the lowest polymorph of the same formula in meV/atom: 123

***

Compound: Nd2Ga2Pd3
Source: the Alexandria database
Functional: PBE
Structure: optimized geometry

Unit cell a=4.173 b=7.239 c=9.904 alpha=90.00 beta=102.16 gamma=90.00
Atoms (fractional coordinates):
Ga1 0.692 0.942 0.385
Pd1 0.565 0.055 0.131
Pd2 0.226 0.750 0.452
Pd3 0.435 0.555 0.869
Nd1 0.848 0.750 0.695
Pd4 0.565 0.445 0.131
Pd5 0.435 0.945 0.869
Ga2 0.308 0.058 0.615
Ga3 0.692 0.558 0.385
Ga4 0.308 0.442 0.615
Nd2 0.152 0.250 0.305
Nd3 0.940 0.250 0.881
Nd4 0.060 0.750 0.119
Pd6 0.774 0.250 0.548

ΔE_f in eV/atom: -0.7963
D(E_F) in states/eV/cell: 8.170
Space group: Cmcm (63)

***

Compound: MnCu2Au9
Source: the Alexandria database
Functional: PBE
Structure: optimized geometry

Unit cell a=4.096 b=4.096 c=12.168 alpha=90.00 beta=90.00 gamma=90.00
Atoms (fractional coordinates):
Au1 0.500 0.500 0.000
Cu1 0.000 0.000 0.664
Au2 0.500 0.000 0.831
Au3 0.500 0.500 0.335
Au4 0.000 0.500 0.831
Au5 0.500 0.000 0.500
Au6 0.000 0.500 0.500
Cu2 0.000 0.000 0.336
Au7 0.500 0.000 0.169
Au8 0.000 0.500 0.169
Mn1 0.000 0.000 0.000
Au9 0.500 0.500 0.665

ΔE_f in eV/atom: -0.0193
D(E_F) in states/eV/cell: 4.697
Space group: P4/mmm (123)

***

Compound: RbPmGe2Cl8
Source: the Alexandria database
Functional: PBE
Structure: optimized geometry

Unit cell a=6.975 b=6.384 c=9.451 alpha=89.94 beta=86.71 gamma=85.10
Atoms (fractional coordinates):
Cl1 0.633 0.726 0.416
Pm1 0.000 0.000 0.000
Cl2 0.685 0.760 0.038
Rb1 0.000 0.000 0.500
Cl3 0.138 0.729 0.786
Cl4 0.862 0.271 0.214
Cl5 0.192 0.785 0.202
Ge1 0.549 0.542 0.225
Cl6 0.367 0.274 0.584
Cl7 0.808 0.215 0.798
Cl8 0.315 0.240 0.962
Ge2 0.451 0.458 0.775

D(E_F) in states/eV/cell: 0.000
Space group: P-1 (2)
Uncorrected formation energy in eV per atom: -1.475

***

Compound: LuMgGePd
Source: the Alexandria database
Functional: PBE
Structure: optimized geometry

Unit cell a=4.752 b=4.752 c=4.752 alpha=60.00 beta=60.00 gamma=60.00
Atoms (fractional coordinates):
Ge1 0.750 0.750 0.750
Lu1 0.000 0.000 0.000
Mg1 0.500 0.500 0.500
Pd1 0.250 0.250 0.250

ΔE_f in eV/atom: -0.6611
D(E_F) in states/eV/cell: 2.301
Space group: F-43m (216)

***

Compound: CaIn2Ni
Source: the Alexandria database
Functional: PBE
Structure: optimized geometry

Unit cell a=5.899 b=5.899 c=5.899 alpha=146.08 beta=127.01 gamma=64.42
Atoms (fractional coordinates):
Ni1 0.750 0.250 0.500
Ca1 0.250 0.750 0.500
In1 0.955 0.955 0.000
In2 0.545 0.545 0.000

ΔE_f in eV/atom: -0.1667
D(E_F) in states/eV/cell: 2.023
Space group: Immm (71)

***

Compound: TeN2Cl
Source: the Alexandria database
Functional: PBE
Structure: optimized geometry

Unit cell a=6.110 b=6.110 c=5.798 alpha=58.20 beta=58.20 gamma=90.00
Atoms (fractional coordinates):
N1 0.375 0.270 0.750
Te1 0.000 0.000 0.000
Cl1 0.500 0.500 0.000
N2 0.730 0.125 0.250
N3 0.875 0.980 0.750
N4 0.020 0.625 0.250
Te2 0.750 0.250 0.500
Cl2 0.250 0.750 0.500

D(E_F) in states/eV/cell: 6.649
Space group: I-42d (122)
Distance to the lowest polymorph of the same formula in meV/atom: 1515
Uncorrected formation energy in eV per atom: 1.442

***

Compound: CeTm2Au
Source: the Alexandria database
Functional: PBE
Structure: optimized geometry

Unit cell a=4.506 b=4.770 c=4.770 alpha=90.00 beta=90.00 gamma=90.00
Atoms (fractional coordinates):
Ce1 0.500 0.000 0.000
Tm1 0.000 0.500 0.000
Tm2 0.000 0.000 0.500
Au1 0.500 0.500 0.500

ΔE_f in eV/atom: -0.1984
D(E_F) in states/eV/cell: 8.562
Space group: P4/mmm (123)
Distance to the lowest polymorph of the same formula in meV/atom: 185

***

Question: Among the records above, which one has the highest D(E_F)?
Answer: CeTm2Au